## Y2ThPb (PBE)

Data for an optimized crystal structure of Y2ThPb.

The structure in extended XYZ format:
```
4
Lattice="3.661 0.000 0.000 0.000 3.661 0.000 0.000 0.000 9.029" Properties=species:S:1:pos:R:3 pbc="T T T"
Pb 1.830 1.830 0.000
Y 0.000 0.000 6.893
Y 0.000 0.000 2.135
Th 1.830 1.830 4.514
```

Computed properties:
Magnetization ... 0.000 μB/atom
Offset from the most stable computed form ... 0.000 eV/atom
E_form ... -22.70 kJ/mol of atoms


## YThPb (PBE)

Data for an optimized crystal structure of YThPb.

The structure in extended XYZ format:
```
6
Lattice="-0.304 2.149 -4.034 2.928 -3.013 -1.826 -8.094 -4.785 0.663" Properties=species:S:1:pos:R:3 pbc="T T T"
Y -2.365 -1.819 -0.791
Y -3.105 -3.829 -4.407
Th 1.464 -1.506 -0.913
Th -0.152 1.075 -2.017
Pb -4.808 -3.698 -1.607
Pb -0.662 -1.950 -3.590
```

Computed properties:
Magnetization ... 0.000 μB/atom
E_form ... -36.37 kJ/mol of atoms


## YThPb (PBE)

Data for an optimized crystal structure of YThPb.

The structure in extended XYZ format:
```
3
Lattice="3.726 0.000 0.000 0.000 3.726 0.000 -1.863 -1.863 6.767" Properties=species:S:1:pos:R:3 pbc="T T T"
Pb 0.000 0.000 3.891
Y 1.863 1.863 5.932
Th 1.863 1.863 1.680
```

Computed properties:
Magnetization ... 0.000 μB/atom
E_form ... -15.93 kJ/mol of atoms


## Y2ThPb (PBE)

Data for an optimized crystal structure of Y2ThPb.

The structure in extended XYZ format:
```
4
Lattice="-1.275 0.208 3.353 0.894 -2.502 2.420 8.642 5.237 4.877" Properties=species:S:1:pos:R:3 pbc="T T T"
Y 6.552 3.807 4.174
Y 1.959 0.664 2.626
Th 4.132 1.473 5.325
Pb -0.253 -1.528 3.849
```

Computed properties:
Magnetization ... 0.000 μB/atom
Offset from the most stable computed form ... 0.090 eV/atom
E_form ... -14.01 kJ/mol of atoms


## YTh2Pb9 (PBE)

Data for an optimized crystal structure of YTh2Pb9.

The structure in extended XYZ format:
```
12
Lattice="4.910 0.000 0.000 0.000 4.910 0.000 0.000 0.000 14.662" Properties=species:S:1:pos:R:3 pbc="T T T"
Y 0.000 0.000 0.000
Th 0.000 0.000 4.926
Th 0.000 0.000 9.737
Pb 2.455 2.455 0.000
Pb 2.455 2.455 4.861
Pb 2.455 2.455 9.801
Pb 2.455 0.000 2.411
Pb 2.455 0.000 7.331
Pb 2.455 0.000 12.252
Pb 0.000 2.455 2.411
Pb 0.000 2.455 7.331
Pb 0.000 2.455 12.252
```

Computed properties:
Magnetization ... 0.000 μB/atom
E_form ... -23.75 kJ/mol of atoms


## Y2ThPb (PBE)

Data for an optimized crystal structure of Y2ThPb.

The structure in extended XYZ format:
```
4
Lattice="-4.188 -0.560 -2.198 0.234 -4.911 0.806 -2.361 0.601 4.346" Properties=species:S:1:pos:R:3 pbc="T T T"
Pb -3.158 -2.435 1.477
Y -1.180 0.301 2.173
Y 0.117 -2.455 0.403
Th -2.094 -0.280 -1.099
```

Computed properties:
Magnetization ... 0.000 μB/atom
Offset from the most stable computed form ... 0.001 eV/atom
E_form ... -22.59 kJ/mol of atoms


## YThPb (PBE)

Data for an optimized crystal structure of YThPb.

The structure in extended XYZ format:
```
6
Lattice="3.530 0.002 0.001 0.003 6.276 0.709 -0.002 2.698 8.908" Properties=species:S:1:pos:R:3 pbc="T T T"
Y 2.649 2.959 5.806
Y 0.881 6.017 3.813
Th 2.649 4.714 0.715
Th 0.881 4.262 8.903
Pb 0.886 2.929 3.057
Pb 2.645 6.047 6.561
```

Computed properties:
Magnetization ... 0.000 μB/atom
E_form ... -17.37 kJ/mol of atoms


## YThZnPb (PBE)

Data for an optimized crystal structure of YThZnPb.

The structure in extended XYZ format:
```
4
Lattice="-0.872 1.425 -5.082 -4.653 -1.196 -2.352 -3.504 3.882 -1.125" Properties=species:S:1:pos:R:3 pbc="T T T"
Pb -6.772 3.084 -6.419
Y 0.000 0.000 0.000
Zn -2.257 1.028 -2.140
Th -4.515 2.056 -4.280
```

Computed properties:
Magnetization ... 0.000 μB/atom
E_form ... -23.28 kJ/mol of atoms


## Th2ZnPb (PBE)

Data for an optimized crystal structure of Th2ZnPb.

The structure in extended XYZ format:
```
8
Lattice="-3.181 -1.091 2.642 3.989 -3.672 3.286 -0.203 8.453 3.245" Properties=species:S:1:pos:R:3 pbc="T T T"
Th -1.586 1.883 4.059
Th 2.191 1.807 5.114
Th 2.396 -2.718 3.493
Th -1.791 6.407 5.680
Zn 0.537 0.257 2.484
Zn 0.068 3.432 6.690
Pb 0.206 -0.831 5.096
Pb 0.399 4.520 4.077
```

Computed properties:
Magnetization ... 0.000 μB/atom
Offset from the most stable computed form ... 0.000 eV/atom
E_form ... -21.68 kJ/mol of atoms


## ThZnPb2 (PBE)

Data for an optimized crystal structure of ThZnPb2.

The structure in extended XYZ format:
```
4
Lattice="4.810 0.000 0.000 0.000 4.712 0.000 0.000 0.000 4.712" Properties=species:S:1:pos:R:3 pbc="T T T"
Pb 0.000 0.000 2.356
Pb 0.000 2.356 0.000
Zn 2.405 0.000 0.000
Th 2.405 2.356 2.356
```

Computed properties:
Magnetization ... 0.000 μB/atom
Offset from the most stable computed form ... 0.000 eV/atom
E_form ... -18.91 kJ/mol of atoms


## ThZnPb2 (PBE)

Data for an optimized crystal structure of ThZnPb2.

The structure in extended XYZ format:
```
4
Lattice="3.500 0.000 0.000 1.750 3.031 0.000 1.750 1.010 11.038" Properties=species:S:1:pos:R:3 pbc="T T T"
Pb 1.750 1.010 7.748
Pb 5.250 3.031 3.290
Zn 3.500 2.021 5.519
Th 0.000 0.000 0.000
```

Computed properties:
Magnetization ... 0.000 μB/atom
Offset from the most stable computed form ... 0.431 eV/atom
E_form ... 22.66 kJ/mol of atoms


## Th2ZnPb (PBE)

Data for an optimized crystal structure of Th2ZnPb.

The structure in extended XYZ format:
```
4
Lattice="-0.226 2.355 4.874 -1.039 -2.980 4.403 3.911 -0.916 3.635" Properties=species:S:1:pos:R:3 pbc="T T T"
Pb 0.000 0.000 0.000
Zn 1.323 -0.771 6.456
Th 0.662 -0.385 3.228
Th 1.985 -1.156 9.684
```

Computed properties:
Magnetization ... 0.048 μB/atom
Offset from the most stable computed form ... 0.117 eV/atom
E_form ... -10.40 kJ/mol of atoms


## Th2ZnPb (PBE)

Data for an optimized crystal structure of Th2ZnPb.

The structure in extended XYZ format:
```
4
Lattice="3.508 0.000 0.000 1.754 3.038 0.000 1.754 1.013 11.317" Properties=species:S:1:pos:R:3 pbc="T T T"
Pb 0.000 0.000 0.000
Zn 3.508 2.025 5.658
Th 1.754 1.013 8.028
Th 5.262 3.038 3.289
```

Computed properties:
Magnetization ... 0.000 μB/atom
Offset from the most stable computed form ... 0.332 eV/atom
E_form ... 10.31 kJ/mol of atoms


## Th2ZnPb (PBE)

Data for an optimized crystal structure of Th2ZnPb.

The structure in extended XYZ format:
```
4
Lattice="3.484 0.000 0.000 0.000 3.484 0.000 0.000 0.000 9.009" Properties=species:S:1:pos:R:3 pbc="T T T"
Pb 1.742 1.742 4.505
Zn 1.742 1.742 0.000
Th 0.000 0.000 7.019
Th 0.000 0.000 1.990
```

Computed properties:
Magnetization ... 0.000 μB/atom
Offset from the most stable computed form ... 0.018 eV/atom
E_form ... -19.93 kJ/mol of atoms


## Th2ZnPb (PBE)

Data for an optimized crystal structure of Th2ZnPb.

The structure in extended XYZ format:
```
4
Lattice="4.480 0.000 0.000 0.000 4.959 0.000 0.000 0.000 4.959" Properties=species:S:1:pos:R:3 pbc="T T T"
Pb 2.240 0.000 0.000
Zn 2.240 2.479 2.479
Th 0.000 0.000 2.479
Th 0.000 2.479 0.000
```

Computed properties:
Magnetization ... 0.000 μB/atom
Offset from the most stable computed form ... 0.025 eV/atom
E_form ... -19.27 kJ/mol of atoms


## Th12Zr3Pb5 (PBE)

Data for an optimized crystal structure of Th12Zr3Pb5.

The structure in extended XYZ format:
```
80
Lattice="15.983 0.000 0.000 -5.328 15.069 0.000 -5.328 -7.535 13.050" Properties=species:S:1:pos:R:3 pbc="T T T"
Zr 9.324 4.709 1.631
Zr 9.324 10.360 1.631
Zr -1.332 6.593 8.156
Zr 1.332 -0.942 4.894
Zr 11.988 0.000 3.263
Zr 1.332 7.535 3.263
Zr 3.996 0.000 9.788
Zr -6.660 7.535 9.788
Zr 3.996 8.476 8.156
Zr 6.660 0.942 4.894
Zr -3.996 -2.825 11.419
Zr -3.996 2.825 11.419
Pb -1.332 3.767 3.263
Pb -2.664 7.535 0.000
Pb 0.000 0.000 0.000
Pb 3.996 2.825 1.631
Pb 5.328 -3.767 6.525
Pb 5.328 7.535 0.000
Pb -3.996 8.476 4.894
Pb 6.660 -4.709 11.419
Pb 6.660 6.593 4.894
Pb 1.332 -3.767 9.788
Pb 3.996 11.302 3.263
Pb 2.664 3.767 6.525
Pb 7.992 0.000 0.000
Pb -2.664 -3.767 6.525
Pb -1.332 0.942 8.156
Pb -1.332 12.244 1.631
Pb -5.328 3.767 6.525
Pb 9.324 -0.942 8.156
Pb 1.332 4.709 11.419
Pb 6.660 3.767 9.788
Th 10.561 1.612 0.874
Th 0.095 5.330 5.566
Th 11.559 3.383 3.525
Th 7.089 2.406 1.833
Th 2.000 6.004 8.651
Th 10.990 7.415 2.126
Th -0.903 8.512 5.358
Th -4.425 12.664 1.833
Th 0.664 9.066 8.651
Th 7.657 7.654 2.126
Th 8.087 3.817 4.692
Th 8.087 13.457 0.874
Th -4.664 6.727 7.399
Th 2.998 5.753 1.167
Th -5.423 11.252 4.692
Th 2.759 -2.205 7.485
Th -0.664 0.723 3.000
Th 2.998 9.436 0.959
Th 7.089 11.687 3.525
Th -0.334 5.633 0.959
Th -3.328 8.258 10.051
Th 3.567 6.558 5.358
Th 7.328 8.342 7.399
Th 5.662 -1.782 11.884
Th 1.761 0.977 7.692
Th -2.000 -0.808 5.652
Th -0.334 9.316 1.167
Th -1.761 -4.152 9.525
Th 8.655 -0.723 3.000
Th 5.662 1.901 12.091
Th 2.330 -1.901 12.091
Th 2.569 9.739 5.566
Th 5.991 6.811 10.051
Th 10.750 -3.718 8.358
Th 9.992 0.808 5.652
Th -2.759 -5.922 12.177
Th 2.330 1.782 11.884
Th 4.664 -1.531 4.399
Th -2.330 -0.120 10.924
Th -2.759 3.718 8.358
Th 9.753 -5.129 11.217
Th 6.231 -0.977 7.692
Th -1.761 5.129 11.217
Th -5.662 0.120 10.924
Th 3.328 1.531 4.399
Th -6.231 4.152 9.525
Th 5.233 2.205 7.485
Th -5.233 5.922 12.177
```

Computed properties:
Magnetization ... 0.000 μB/atom
E_form ... 60.86 kJ/mol of atoms


## ThZrPb (PBE)

Data for an optimized crystal structure of ThZrPb.

The structure in extended XYZ format:
```
3
Lattice="-2.969 -1.142 -0.529 0.709 -0.399 -3.120 3.909 -7.220 3.477" Properties=species:S:1:pos:R:3 pbc="T T T"
Pb 0.337 -4.988 -0.952
Zr 0.727 -2.092 0.433
Th 1.400 -8.044 -0.321
```

Computed properties:
Magnetization ... 0.000 μB/atom
Offset from the most stable computed form ... 0.734 eV/atom
E_form ... 46.96 kJ/mol of atoms


## ThZr2Pb (PBE)

Data for an optimized crystal structure of ThZr2Pb.

The structure in extended XYZ format:
```
4
Lattice="-3.635 3.623 0.904 -3.372 -0.615 3.925 0.338 3.032 4.224" Properties=species:S:1:pos:R:3 pbc="T T T"
Pb 0.000 0.000 0.000
Zr -1.665 1.512 2.265
Zr -5.004 4.529 6.788
Th -3.335 3.020 4.526
```

Computed properties:
Magnetization ... 0.000 μB/atom
Offset from the most stable computed form ... 0.200 eV/atom
E_form ... -1.20 kJ/mol of atoms


## ThZrPb (PBE)

Data for an optimized crystal structure of ThZrPb.

The structure in extended XYZ format:
```
6
Lattice="4.451 0.000 0.000 0.000 4.451 0.000 0.000 0.000 8.610" Properties=species:S:1:pos:R:3 pbc="T T T"
Th 3.338 3.338 3.037
Th 1.113 1.113 5.573
Zr 1.113 3.338 0.000
Zr 3.338 1.113 0.000
Pb 1.113 1.113 2.199
Pb 3.338 3.338 6.411
```

Computed properties:
Magnetization ... 0.000 μB/atom
Offset from the most stable computed form ... 0.000 eV/atom
E_form ... -23.83 kJ/mol of atoms


## ThZrPb (PBE)

Data for an optimized crystal structure of ThZrPb.

The structure in extended XYZ format:
```
3
Lattice="-1.393 -2.823 -1.400 3.098 -3.046 3.060 -4.792 1.505 1.735" Properties=species:S:1:pos:R:3 pbc="T T T"
Pb -0.231 -0.468 -0.232
Zr 0.235 -2.001 2.385
Th -3.092 -1.895 1.243
```

Computed properties:
Magnetization ... 0.001 μB/atom
Offset from the most stable computed form ... 0.301 eV/atom
E_form ... 5.17 kJ/mol of atoms


## ThZrPb (PBE)

Data for an optimized crystal structure of ThZrPb.

The structure in extended XYZ format:
```
9
Lattice="3.494 0.000 0.000 0.000 9.147 0.000 0.000 -4.574 7.922" Properties=species:S:1:pos:R:3 pbc="T T T"
Th 0.000 -3.241 5.614
Th 0.000 6.482 0.000
Th 0.000 1.333 2.308
Pb 0.000 4.574 2.641
Pb 0.000 0.000 5.281
Pb 1.747 0.000 0.000
Zr 1.747 -1.760 3.048
Zr 1.747 2.814 4.874
Zr 1.747 3.519 0.000
```

Computed properties:
Magnetization ... 0.000 μB/atom
Offset from the most stable computed form ... 0.297 eV/atom
E_form ... 4.82 kJ/mol of atoms


## Th2ZrPb (PBE)

Data for an optimized crystal structure of Th2ZrPb.

The structure in extended XYZ format:
```
4
Lattice="-1.317 -0.477 3.124 -2.345 -2.441 0.515 7.622 -8.940 3.724" Properties=species:S:1:pos:R:3 pbc="T T T"
Pb 0.000 0.000 0.000
Zr 1.980 -5.928 3.682
Th 5.192 -6.750 3.034
Th -1.232 -5.106 4.330
```

Computed properties:
Magnetization ... 0.000 μB/atom
Offset from the most stable computed form ... 0.338 eV/atom
E_form ... 20.23 kJ/mol of atoms


## Th2ZrPb (PBE)

Data for an optimized crystal structure of Th2ZrPb.

The structure in extended XYZ format:
```
4
Lattice="4.167 0.000 0.000 0.000 4.167 0.000 0.000 0.000 6.812" Properties=species:S:1:pos:R:3 pbc="T T T"
Pb 2.083 2.083 3.406
Zr 2.083 2.083 0.000
Th 0.000 0.000 5.057
Th 0.000 0.000 1.755
```

Computed properties:
Magnetization ... 0.288 μB/atom
Offset from the most stable computed form ... 0.112 eV/atom
E_form ... -1.49 kJ/mol of atoms


## ThZrPb (PBE)

Data for an optimized crystal structure of ThZrPb.

The structure in extended XYZ format:
```
6
Lattice="-1.133 3.731 -2.075 2.937 -0.877 -3.180 -7.012 -5.756 -1.822" Properties=species:S:1:pos:R:3 pbc="T T T"
Th -1.285 -0.123 -4.220
Th -3.923 -2.780 -2.857
Zr -0.566 1.865 -1.037
Zr 1.468 -0.438 -1.590
Pb -1.552 -1.100 -1.130
Pb -3.656 -1.803 -5.947
```

Computed properties:
Magnetization ... 0.000 μB/atom
Offset from the most stable computed form ... 0.014 eV/atom
E_form ... -22.49 kJ/mol of atoms


## ThZr2Pb (PBE)

Data for an optimized crystal structure of ThZr2Pb.

The structure in extended XYZ format:
```
4
Lattice="-3.801 -1.056 0.976 1.398 -4.738 0.316 1.056 0.631 4.795" Properties=species:S:1:pos:R:3 pbc="T T T"
Pb -1.900 -0.528 0.488
Zr 0.528 0.316 2.397
Zr 0.699 -2.369 0.158
Th -0.673 -2.581 3.044
```

Computed properties:
Magnetization ... 0.000 μB/atom
Offset from the most stable computed form ... 0.072 eV/atom
E_form ... -13.61 kJ/mol of atoms